This record from the Alexandria database describes a relaxed structure of PmScMoO6. The functional is PBE with a Hubbard U.

Cell lengths 5.333, 5.333, 5.006 Å; angles 90.00, 90.00, 120.00 degrees
Sites, in units of the cell vectors:
Pm1 0.000 0.000 0.000
Sc1 0.667 0.333 0.500
Mo1 0.333 0.667 0.500
O1 0.022 0.372 0.282
O2 0.022 0.650 0.718
O3 0.350 0.372 0.718
O4 0.350 0.978 0.282
O5 0.628 0.650 0.282
O6 0.628 0.978 0.718

VASP energy, eV/f.u.: -72.1
Total magnetization, μB/f.u.: 0.000
N(E_F), states/eV per atom: 0.000